The following is a DFT calculation (meta-GGA SCAN) of a crystal of NaNbBr2 relaxed with PBEsol.

Geometry as extended XYZ:
```
4
Lattice="3.4058 0.0000 0.0000 1.7029 2.9495 0.0000 1.7029 0.9832 9.0263" Properties=species:S:1:pos:R:3 pbc="T T T"
Br 1.7029 0.9832 6.4992
Br 5.1087 2.9495 2.5271
Na 3.4058 1.9664 4.5131
Nb 0.0000 0.0000 0.0000
```

Calculated values
Density (g cm⁻³): 5.05
E_form (uncorrected) (kJ per mole of atoms): -40.7
Volume (Å³/f.u.): 90.7


The following is a DFT calculation (meta-GGA SCAN) of a crystal of NaNb3Br relaxed with PBEsol.

Geometry as extended XYZ:
```
5
Lattice="4.7933 0.0000 0.0000 0.0000 4.7933 0.0000 0.0000 0.0000 4.7933" Properties=species:S:1:pos:R:3 pbc="T T T"
Nb 0.0000 0.0000 2.3967
Nb 2.3967 0.0000 0.0000
Nb 0.0000 2.3967 0.0000
Na 2.3967 2.3967 2.3967
Br 0.0000 0.0000 0.0000
```

Calculated values
Density (g cm⁻³): 5.75
Relative energy among the computed polymorphs (eV per atom): 0.000
E_form (uncorrected) (kJ per mole of atoms): 125.7
Volume (Å³/f.u.): 110.1


The following is a DFT calculation (meta-GGA SCAN) of a crystal of NaNb3Br relaxed with PBEsol.

Geometry as extended XYZ:
```
5
Lattice="4.7422 0.0000 0.0000 0.0000 4.7422 0.0000 0.0000 0.0000 4.7422" Properties=species:S:1:pos:R:3 pbc="T T T"
Nb 2.3711 0.0000 0.0000
Nb 0.0000 0.0000 2.3711
Nb 0.0000 2.3711 0.0000
Br 2.3711 2.3711 2.3711
Na 0.0000 0.0000 0.0000
```

Calculated values
Density (g cm⁻³): 5.94
Relative energy among the computed polymorphs (eV per atom): 0.968
E_form (uncorrected) (kJ per mole of atoms): 219.1
Volume (Å³/f.u.): 106.6


The following is a DFT calculation (meta-GGA SCAN) of a crystal of Na3NiBr relaxed with PBEsol.

Geometry as extended XYZ:
```
5
Lattice="5.2397 0.0000 0.0000 0.0000 5.2397 0.0000 0.0000 0.0000 5.2397" Properties=species:S:1:pos:R:3 pbc="T T T"
Na 0.0000 2.6198 0.0000
Na 0.0000 0.0000 2.6198
Na 2.6198 0.0000 0.0000
Br 2.6198 2.6198 2.6198
Ni 0.0000 0.0000 0.0000
```

Calculated values
Density (g cm⁻³): 2.40
E_form (uncorrected) (kJ per mole of atoms): 1.1
Volume (Å³/f.u.): 143.9


Question: Which formula does entry 1 have?
Answer: NaNbBr2


Question: Number 2 is which compound?
Answer: NaNb3Br


Question: Which value of density does entry 1 give?
Answer: 5.05 g cm⁻³